# W2C, optimized geometry, DFT PBE
data_W2C
_symmetry_space_group_name_H-M 'P 1'
_symmetry_Int_Tables_number 1
_symmetry_space_group_name_Hall 'P 1'
_cell_length_a 2.8937
_cell_length_b 2.8937
_cell_length_c 5.5219
_cell_angle_alpha 90.00
_cell_angle_beta 90.00
_cell_angle_gamma 120.00
loop_
_atom_site_label
_atom_site_fract_x
_atom_site_fract_y
_atom_site_fract_z
W1 0.0000 0.0000 0.2439
W2 0.0000 0.0000 0.7561
C1 0.3333 0.6667 0.5000
# Uncorrected energy, Ry/atom: -0.8140
# Calculated formation energy, eV/atom: 0.63